Entry 1:
# PBE-GGA ScPd2WAu, relaxed
data_ScPd2WAu
_chemical_formula_sum 'Sc1 Pd2 W1 Au1'
_cell_length_a 4.631
_cell_length_b 4.631
_cell_length_c 4.921
_cell_angle_alpha 90.00
_cell_angle_beta 90.00
_cell_angle_gamma 90.00
_symmetry_space_group_name_H-M 'P 4/m m m'
_symmetry_Int_Tables_number 123
_symmetry_space_group_name_Hall '-P 4 2'
loop_
_atom_site_label
_atom_site_fract_x
_atom_site_fract_y
_atom_site_fract_z
Sc1 0.000 0.000 0.000
Pd1 0.000 0.500 0.000
W1 0.000 0.000 0.500
Au1 0.500 0.500 0.500
# **Calculated volume**: 21.1 Å³ per atom
# **ΔE_f**: 30.0 kcal/mol of atoms
# **Crystal system**: tetragonal

=====

Entry 2:
# PBE-GGA Sr3CaSe, relaxed
data_Sr3CaSe
_chemical_formula_sum 'Sr3 Ca1 Se1'
_cell_length_a 6.563
_cell_length_b 6.563
_cell_length_c 6.563
_cell_angle_alpha 90.00
_cell_angle_beta 90.00
_cell_angle_gamma 90.00
_symmetry_space_group_name_H-M 'P m -3 m'
_symmetry_Int_Tables_number 221
_symmetry_space_group_name_Hall '-P 4 2 3'
loop_
_atom_site_label
_atom_site_fract_x
_atom_site_fract_y
_atom_site_fract_z
Sr1 0.000 0.000 0.500
Ca1 0.000 0.000 0.000
Se1 0.500 0.500 0.500
# **Calculated volume**: 56.5 Å³ per atom
# **Formation energy without anion corrections**: 563 meV/atom
# **Energy above the lowest structure with this stoichiometry**: 1250 meV per atom
# **Crystal system**: cubic

=====

Entry 3:
# PBE-GGA Ca4HfZr3N8, relaxed
data_Ca4HfZr3N8
_chemical_formula_sum 'Ca12 Hf3 Zr9 N24'
_cell_length_a 6.6420
_cell_length_b 6.6420
_cell_length_c 16.8746
_cell_angle_alpha 90.00
_cell_angle_beta 90.00
_cell_angle_gamma 120.00
_symmetry_space_group_name_H-M 'R -3 m'
_symmetry_Int_Tables_number 166
_symmetry_space_group_name_Hall '-R 3 2"'
loop_
_atom_site_label
_atom_site_fract_x
_atom_site_fract_y
_atom_site_fract_z
Ca1 0.0000 0.0000 0.0000
Ca2 0.0000 0.5000 0.0000
Hf1 0.0000 0.0000 0.5000
Zr1 0.0000 0.5000 0.5000
N1 0.0000 0.0000 0.2388
N2 0.0030 0.5015 0.2383
# **Calculated volume**: 13.4 Å³ per atom
# **Formation energy without anion corrections**: -1517 meV/atom
# **Crystal system**: trigonal

=====

Entry 4:
# PBE-GGA Dy3ThAs4, relaxed
data_Dy3ThAs4
_chemical_formula_sum 'Dy3 Th1 As4'
_cell_length_a 5.887
_cell_length_b 5.887
_cell_length_c 5.887
_cell_angle_alpha 90.00
_cell_angle_beta 90.00
_cell_angle_gamma 90.00
_symmetry_space_group_name_H-M 'P m -3 m'
_symmetry_Int_Tables_number 221
_symmetry_space_group_name_Hall '-P 4 2 3'
loop_
_atom_site_label
_atom_site_fract_x
_atom_site_fract_y
_atom_site_fract_z
Dy1 0.000 0.000 0.500
Th1 0.500 0.500 0.500
As1 0.000 0.000 0.000
As2 0.000 0.500 0.500
# **Calculated volume**: 25.5 Å³ per atom
# **ΔE_f**: -34.6 kcal/mol of atoms
# **Energy above the lowest structure with this stoichiometry**: 18 meV per atom
# **Crystal system**: cubic

=====

Entry 5:
# PBE-GGA BaIr2Br, relaxed
data_BaIr2Br
_chemical_formula_sum 'Ba2 Ir4 Br2'
_cell_length_a 5.714
_cell_length_b 10.233
_cell_length_c 3.200
_cell_angle_alpha 90.00
_cell_angle_beta 90.00
_cell_angle_gamma 90.00
_symmetry_space_group_name_H-M 'C m m m'
_symmetry_Int_Tables_number 65
_symmetry_space_group_name_Hall '-C 2 2'
loop_
_atom_site_label
_atom_site_fract_x
_atom_site_fract_y
_atom_site_fract_z
Ba1 0.000 0.000 0.000
Ir1 0.250 0.250 0.500
Br1 0.000 0.500 0.000
# **Calculated volume**: 23.4 Å³ per atom
# **Formation energy without anion corrections**: 901 meV/atom
# **Energy above the lowest structure with this stoichiometry**: 1094 meV per atom
# **Crystal system**: orthorhombic

=====

Entry 6:
# PBE-GGA RbBiPbC2, relaxed
data_RbBiPbC2
_chemical_formula_sum 'Rb1 Bi1 Pb1 C2'
_cell_length_a 5.080
_cell_length_b 5.080
_cell_length_c 7.061
_cell_angle_alpha 90.00
_cell_angle_beta 90.00
_cell_angle_gamma 90.00
_symmetry_space_group_name_H-M 'P 4/m m m'
_symmetry_Int_Tables_number 123
_symmetry_space_group_name_Hall '-P 4 2'
loop_
_atom_site_label
_atom_site_fract_x
_atom_site_fract_y
_atom_site_fract_z
Rb1 0.000 0.000 0.000
Bi1 0.000 0.000 0.500
Pb1 0.500 0.500 0.500
C1 0.000 0.500 0.000
# **Calculated volume**: 36.4 Å³ per atom
# **ΔE_f**: 66.8 kcal/mol of atoms
# **Crystal system**: tetragonal

=====

What is the formula in the fifth record? BaIr2Br

=====

Please write out number 5 again, unchanged.
# PBE-GGA BaIr2Br, relaxed
data_BaIr2Br
_chemical_formula_sum 'Ba2 Ir4 Br2'
_cell_length_a 5.714
_cell_length_b 10.233
_cell_length_c 3.200
_cell_angle_alpha 90.00
_cell_angle_beta 90.00
_cell_angle_gamma 90.00
_symmetry_space_group_name_H-M 'C m m m'
_symmetry_Int_Tables_number 65
_symmetry_space_group_name_Hall '-C 2 2'
loop_
_atom_site_label
_atom_site_fract_x
_atom_site_fract_y
_atom_site_fract_z
Ba1 0.000 0.000 0.000
Ir1 0.250 0.250 0.500
Br1 0.000 0.500 0.000
# **Calculated volume**: 23.4 Å³ per atom
# **Formation energy without anion corrections**: 901 meV/atom
# **Energy above the lowest structure with this stoichiometry**: 1094 meV per atom
# **Crystal system**: orthorhombic

=====

What is the formula in the first record? ScPd2WAu